DFT (PBE) results for a geometry-optimized TbHoPu structure.

Computed properties:
SG: F-43m (216)
Energy relative to the lowest polymorph listed for this composition in meV/atom: 0
Energy relative to the elements in eV per atom: 0.81

The structure in POSCAR format:
```
TbHoPu
1.0
0.000 3.733 3.733
3.733 0.000 3.733
3.733 3.733 0.000
Tb Ho Pu
1 1 1
Direct
0.000 0.000 0.000
0.500 0.500 0.500
0.750 0.750 0.750
```



DFT (PBE) results for a geometry-optimized HoPuTe structure.

Computed properties:
SG: F-43m (216)
Energy relative to the lowest polymorph listed for this composition in meV/atom: 0

The structure in POSCAR format:
```
HoPuTe
1.0
0.000 3.612 3.612
3.612 0.000 3.612
3.612 3.612 0.000
Ho Pu Te
1 1 1
Direct
0.000 0.000 0.000
0.500 0.500 0.500
0.250 0.250 0.250
```



DFT (PBE) results for a geometry-optimized HoPuTh structure.

Computed properties:
SG: F-43m (216)
Energy relative to the elements in eV per atom: 0.89

The structure in POSCAR format:
```
HoPuTh
1.0
0.000 3.632 3.632
3.632 0.000 3.632
3.632 3.632 0.000
Ho Pu Th
1 1 1
Direct
0.000 0.000 0.000
0.750 0.750 0.750
0.250 0.250 0.250
```



DFT (PBE) results for a geometry-optimized HoTmPu structure.

Computed properties:
SG: F-43m (216)
Energy relative to the lowest polymorph listed for this composition in meV/atom: 0
Energy relative to the elements in eV per atom: 0.81

The structure in POSCAR format:
```
HoTmPu
1.0
0.000 3.769 3.769
3.769 0.000 3.769
3.769 3.769 0.000
Ho Tm Pu
1 1 1
Direct
0.000 0.000 0.000
0.250 0.250 0.250
0.500 0.500 0.500
```



DFT (PBE) results for a geometry-optimized RbHo2 structure.

Computed properties:
SG: Fd-3m (227)
Uncorrected energy in eV per atom: -2.724

The structure in POSCAR format:
```
RbHo2
1.0
0.000 5.056 5.056
5.056 0.000 5.056
5.056 5.056 0.000
Rb Ho
2 4
Direct
0.125 0.125 0.125
0.875 0.875 0.875
0.000 0.500 0.500
0.500 0.000 0.500
0.500 0.500 0.000
0.500 0.500 0.500
```



DFT (PBE) results for a geometry-optimized RbHoRe structure.

Computed properties:
SG: F-43m (216)
Uncorrected energy in eV per atom: -3.984

The structure in POSCAR format:
```
RbHoRe
1.0
0.000 3.576 3.576
3.576 0.000 3.576
3.576 3.576 0.000
Rb Ho Re
1 1 1
Direct
0.000 0.000 0.000
0.750 0.750 0.750
0.500 0.500 0.500
```



DFT (PBE) results for a geometry-optimized RbHoSeS structure.

Computed properties:
SG: R3m (160)
Uncorrected energy in eV per atom: -5.079

The structure in POSCAR format:
```
RbHoSeS
1.0
2.070 1.195 7.835
-2.070 1.195 7.835
0.000 -2.390 7.835
Rb Ho Se S
1 1 1 1
Direct
0.000 0.000 0.000
0.505 0.505 0.505
0.769 0.769 0.769
0.232 0.232 0.232
```



DFT (PBE) results for a geometry-optimized RbSmHoS3 structure.

Computed properties:
SG: Cmcm (63)
Uncorrected energy in eV per atom: -5.426

The structure in POSCAR format:
```
RbSmHoS3
1.0
2.218 -7.649 0.000
2.218 7.649 0.000
0.000 0.000 10.996
Rb Sm Ho S
2 2 2 6
Direct
0.236 0.764 0.750
0.764 0.236 0.250
0.500 0.500 0.000
0.500 0.500 0.500
0.030 0.970 0.250
0.970 0.030 0.750
0.117 0.883 0.051
0.117 0.883 0.449
0.442 0.558 0.250
0.558 0.442 0.750
0.883 0.117 0.551
0.883 0.117 0.949
```